1.
A relaxed Tm6Fe2Te crystal, computed with GGA-PBE.

Calculated values
- Formation energy from raw total energies: -0.288 eV per atom
- N(E_F): 5.9 states/eV/f.u.
- Space-group type: No. 71

a = 8.292 Å, b = 8.292 Å, c = 8.292 Å
α = 106.42°, β = 111.54°, γ = 110.50°
Last column: magnetic moment on the atom in μB.
Positions (direct):
Fe 0.500 0.608 0.108  0.12
Tm 0.217 0.233 0.450  -0.01
Tm 0.530 0.715 0.816  -0.01
Tm 0.692 0.378 0.686  0.00
Te 0.000 0.500 0.500  0.00
Tm 0.783 0.233 0.016  -0.01
Tm 0.101 0.285 0.816  -0.01
Tm 0.470 0.285 0.184  -0.01
Te 0.000 0.000 0.000  0.00
Tm 0.308 0.622 0.314  0.00
Fe 0.500 0.392 0.892  0.12
Tm 0.692 0.006 0.314  0.00
Tm 0.899 0.715 0.184  -0.01
Fe 0.383 0.000 0.383  -0.06
Tm 0.308 0.994 0.686  0.00
Tm 0.783 0.767 0.550  -0.01
Tm 0.217 0.767 0.984  -0.01
Fe 0.617 0.000 0.617  -0.06

2.
A relaxed TmFeTe crystal, computed with GGA-PBE.

Calculated values
- Formation energy from raw total energies: -0.138 eV per atom
- N(E_F): 2.8 states/eV/f.u.
- Space-group type: No. 84

a = 4.304 Å, b = 8.073 Å, c = 8.073 Å
α = 90.00°, β = 90.00°, γ = 90.00°
Last column: magnetic moment on the atom in μB.
Positions (direct):
Fe 0.500 0.822 0.254  1.26
Fe 0.500 0.178 0.746  1.26
Fe 0.000 0.254 0.178  1.26
Te 0.500 0.710 0.968  0.01
Te 0.500 0.290 0.032  0.01
Tm 0.500 0.769 0.583  -0.17
Tm 0.500 0.231 0.417  -0.17
Te 0.000 0.968 0.290  0.01
Tm 0.000 0.417 0.769  -0.17
Te 0.000 0.032 0.710  0.01
Fe 0.000 0.746 0.822  1.26
Tm 0.000 0.583 0.231  -0.17

3.
A relaxed Tm5FeTe4 crystal, computed with GGA-PBE.

Calculated values
- Formation energy from raw total energies: -0.941 eV per atom
- N(E_F): 7.5 states/eV/f.u.
- Space-group type: No. 87

a = 6.003 Å, b = 7.412 Å, c = 7.412 Å
α = 80.56°, β = 66.11°, γ = 66.11°
Positions (direct):
Tm 0.755 0.158 0.334
Te 0.409 0.403 0.781
Tm 0.913 0.334 0.842
Tm 0.247 0.842 0.666
Te 0.190 0.219 0.403
Te 0.593 0.597 0.219
Tm 0.089 0.666 0.158
Te 0.813 0.781 0.597
Fe 0.001 0.000 0.000
Tm 0.500 0.000 0.000

4.
A relaxed VFe3Te crystal, computed with GGA-PBE.

Calculated values
- Formation energy from raw total energies: 1.474 eV per atom
- N(E_F): 10.1 states/eV/f.u.
- Excess energy over the best structure of this formula in the dataset: 460 meV/atom
- Space-group type: No. 221

a = 4.652 Å, b = 4.652 Å, c = 4.652 Å
α = 90.00°, β = 90.00°, γ = 90.00°
Last column: magnetic moment on the atom in μB.
Positions (direct):
Te 0.000 0.000 0.000  -0.06
Fe 0.000 0.500 0.000  2.38
V 0.500 0.500 0.500  2.42
Fe 0.000 0.000 0.500  2.38
Fe 0.500 0.000 0.000  2.38

5.
A relaxed VFe3Te crystal, computed with GGA-PBE.

Calculated values
- Formation energy from raw total energies: 1.014 eV per atom
- N(E_F): 6.4 states/eV/f.u.
- Excess energy over the best structure of this formula in the dataset: 0 meV/atom
- Space-group type: No. 221

a = 4.391 Å, b = 4.391 Å, c = 4.391 Å
α = 90.00°, β = 90.00°, γ = 90.00°
Last column: magnetic moment on the atom in μB.
Positions (direct):
V 0.000 0.000 0.000  -1.43
Fe 0.000 0.000 0.500  2.04
Te 0.500 0.500 0.500  0.02
Fe 0.000 0.500 0.000  2.04
Fe 0.500 0.000 0.000  2.04

6.
A relaxed V5FeTe12 crystal, computed with GGA-PBE.

Calculated values
- Formation energy from raw total energies: -0.258 eV per atom
- N(E_F): 10.0 states/eV/f.u.
- Space-group type: No. 12

a = 6.222 Å, b = 6.224 Å, c = 14.469 Å
α = 86.04°, β = 82.06°, γ = 60.01°
Last column: magnetic moment on the atom in μB.
Positions (direct):
Te 0.794 0.667 0.621  -0.06
Te 0.715 0.000 0.882  -0.06
Te 0.461 0.333 0.621  -0.06
V 0.333 0.333 0.000  0.95
Fe 0.000 0.000 0.000  1.60
Te 0.962 0.677 0.118  -0.06
Te 0.539 0.667 0.379  -0.06
Te 0.206 0.333 0.379  -0.06
Te 0.128 0.000 0.621  -0.06
Te 0.285 0.000 0.118  -0.06
Te 0.038 0.323 0.882  -0.06
V 0.667 0.667 0.000  0.95
V 0.834 0.333 0.500  0.85
Te 0.872 0.000 0.379  -0.06
Te 0.640 0.323 0.118  -0.06
Te 0.360 0.677 0.882  -0.06
V 0.166 0.667 0.500  0.85
V 0.500 0.000 0.500  0.85

7.
A relaxed VFe2Te crystal, computed with GGA-PBE.

Calculated values
- Formation energy from raw total energies: 0.478 eV per atom
- N(E_F): 4.3 states/eV/f.u.
- Space-group type: No. 122

a = 3.859 Å, b = 3.859 Å, c = 9.230 Å
α = 77.93°, β = 77.93°, γ = 90.00°
Last column: magnetic moment on the atom in μB.
Positions (direct):
V 0.500 0.500 0.000  -1.87
Fe 0.602 0.125 0.250  2.30
Fe 0.875 0.852 0.750  2.30
Fe 0.148 0.625 0.250  2.30
Te 0.750 0.250 0.500  0.02
Te 0.000 0.000 0.000  0.02
Fe 0.375 0.398 0.750  2.30
V 0.250 0.750 0.500  -1.87

8.
A relaxed FeTeW2 crystal, computed with GGA-PBE.

Calculated values
- Formation energy from raw total energies: 0.753 eV per atom
- N(E_F): 3.0 states/eV/f.u.
- Space-group type: No. 166

a = 8.597 Å, b = 8.597 Å, c = 8.597 Å
α = 20.34°, β = 20.34°, γ = 20.34°
Last column: magnetic moment on the atom in μB.
Positions (direct):
Fe 0.250 0.250 0.250  2.24
W 0.506 0.506 0.506  -0.09
Te 0.750 0.750 0.750  0.02
W 0.994 0.994 0.994  -0.09

9.
A relaxed FeTeW2 crystal, computed with GGA-PBE.

Calculated values
- Formation energy from raw total energies: 0.796 eV per atom
- N(E_F): 4.2 states/eV/f.u.
- Space-group type: No. 65

a = 4.783 Å, b = 4.783 Å, c = 3.107 Å
α = 90.00°, β = 90.00°, γ = 112.21°
Last column: magnetic moment on the atom in μB.
Positions (direct):
Fe 0.500 0.000 0.500  2.02
W 0.000 0.000 0.000  -0.05
W 0.500 0.500 0.000  -0.05
Te 0.000 0.500 0.500  -0.01

10.
A relaxed FeTeW2 crystal, computed with GGA-PBE.

Calculated values
- Formation energy from raw total energies: 0.592 eV per atom
- N(E_F): 2.8 states/eV/f.u.
- Space-group type: No. 160

a = 8.370 Å, b = 8.370 Å, c = 8.370 Å
α = 21.55°, β = 21.55°, γ = 21.55°
Last column: magnetic moment on the atom in μB.
Positions (direct):
W 0.993 0.993 0.993  -0.06
Fe 0.505 0.505 0.505  2.02
Te 0.754 0.754 0.754  -0.03
W 0.248 0.248 0.248  -0.15

11.
A relaxed FeTeW2 crystal, computed with GGA-PBE.

Calculated values
- Formation energy from raw total energies: 0.656 eV per atom
- N(E_F): 3.8 states/eV/f.u.
- Space-group type: No. 35

a = 2.880 Å, b = 2.880 Å, c = 8.998 Å
α = 90.00°, β = 90.00°, γ = 110.48°
Last column: magnetic moment on the atom in μB.
Positions (direct):
W 0.500 0.500 0.260  -0.09
Te 0.500 0.500 0.735  0.00
W 0.000 0.000 0.028  0.00
Fe 0.000 0.000 0.477  2.36

12.
A relaxed FeTeW2 crystal, computed with GGA-PBE.

Calculated values
- Formation energy from raw total energies: 0.748 eV per atom
- N(E_F): 3.2 states/eV/f.u.
- Space-group type: No. 47

a = 3.076 Å, b = 3.954 Å, c = 5.472 Å
α = 90.00°, β = 90.00°, γ = 90.00°
Last column: magnetic moment on the atom in μB.
Positions (direct):
Fe 0.500 0.500 0.250  1.97
W 0.000 0.000 0.026  -0.06
Te 0.500 0.500 0.750  0.01
W 0.000 0.000 0.474  -0.06